# 1
# NdHo9Sc2

A relaxed structure of NdHo9Sc2 (PBE-GGA, the Alexandria database).

Results
Energy of formation: 3 kJ/mol of atoms
Offset from the most stable computed form: 0 meV per atom
E: -4.853 eV/atom

Structure (CIF):
```
data_NdHo9Sc2
_chemical_formula_sum 'Nd1 Ho9 Sc2'
_space_group_name_H-M_alt 'P 1'
_space_group_IT_number 1
_cell_length_a 3.466
_cell_length_b 11.026
_cell_length_c 11.026
_cell_angle_alpha 120.00
_cell_angle_beta 90.00
_cell_angle_gamma 90.00
loop_
_space_group_symop_operation_xyz
'x,y,z'
loop_
_atom_site_label
_atom_site_fract_x
_atom_site_fract_y
_atom_site_fract_z
Nd1 0.000 0.000 0.000
Ho1 0.000 0.000 0.500
Ho2 0.000 0.500 0.500
Ho3 0.000 0.500 0.000
Ho4 0.500 0.361 0.181
Ho5 0.500 0.181 0.819
Ho6 0.500 0.181 0.361
Ho7 0.500 0.819 0.639
Ho8 0.500 0.819 0.181
Ho9 0.500 0.639 0.819
Sc1 0.000 0.333 0.667
Sc2 0.000 0.667 0.333
```

=====

# 2
# NdAlPdAu

A relaxed structure of NdAlPdAu (PBE-GGA, the Alexandria database).

Results
Energy of formation: -62 kJ/mol of atoms
Offset from the most stable computed form: 127 meV per atom
E: -4.890 eV/atom

Structure (CIF):
```
data_NdAlPdAu
_chemical_formula_sum 'Nd1 Al1 Pd1 Au1'
_space_group_name_H-M_alt 'P 1'
_space_group_IT_number 1
_cell_length_a 4.876
_cell_length_b 4.876
_cell_length_c 4.876
_cell_angle_alpha 60.00
_cell_angle_beta 60.00
_cell_angle_gamma 60.00
loop_
_space_group_symop_operation_xyz
'x,y,z'
loop_
_atom_site_label
_atom_site_fract_x
_atom_site_fract_y
_atom_site_fract_z
Nd1 0.250 0.250 0.250
Au1 0.500 0.500 0.500
Al1 0.750 0.750 0.750
Pd1 0.000 0.000 0.000
```

=====

# 3
# PrCdGaAu

A relaxed structure of PrCdGaAu (PBE-GGA, the Alexandria database).

Results
Energy of formation: -50 kJ/mol of atoms
E: -3.520 eV/atom

Structure (CIF):
```
data_PrCdGaAu
_chemical_formula_sum 'Pr1 Cd1 Ga1 Au1'
_space_group_name_H-M_alt 'P 1'
_space_group_IT_number 1
_cell_length_a 5.035
_cell_length_b 5.035
_cell_length_c 5.035
_cell_angle_alpha 60.00
_cell_angle_beta 60.00
_cell_angle_gamma 60.00
loop_
_space_group_symop_operation_xyz
'x,y,z'
loop_
_atom_site_label
_atom_site_fract_x
_atom_site_fract_y
_atom_site_fract_z
Pr1 0.250 0.250 0.250
Au1 0.000 0.000 0.000
Ga1 0.500 0.500 0.500
Cd1 0.750 0.750 0.750
```

=====

# 4
# NdSm2In

A relaxed structure of NdSm2In (PBE-GGA, the Alexandria database).

Results
Energy of formation: -12 kJ/mol of atoms
Offset from the most stable computed form: 150 meV per atom
E: -4.357 eV/atom

Structure (CIF):
```
data_NdSm2In
_chemical_formula_sum 'Nd1 Sm2 In1'
_space_group_name_H-M_alt 'P 1'
_space_group_IT_number 1
_cell_length_a 5.571
_cell_length_b 5.571
_cell_length_c 5.571
_cell_angle_alpha 60.00
_cell_angle_beta 60.00
_cell_angle_gamma 60.00
loop_
_space_group_symop_operation_xyz
'x,y,z'
loop_
_atom_site_label
_atom_site_fract_x
_atom_site_fract_y
_atom_site_fract_z
Nd1 0.000 0.000 0.000
Sm1 0.250 0.250 0.250
Sm2 0.750 0.750 0.750
In1 0.500 0.500 0.500
```

=====

What is the E in the third record? -3.520 eV/atom

=====

The highest E belongs to which entry? PrCdGaAu

=====

energy of formation of number 1 (NdHo9Sc2)? 3 kJ/mol of atoms